Below is a relaxed ZrCo crystal, with properties calculated at the GGA-PBEsol level.

Computed properties:
Raw total energy ... -17.42 eV/f.u.
Energy relative to the elements ... -0.2988 eV/atom

The structure in CIF format:
```
data_ZrCo
_space_group_name_H-M_alt 'P m -3 m'
_space_group_IT_number 221
_space_group_name_Hall '-P 4 2 3'
_cell_length_a 3.129
_cell_length_b 3.129
_cell_length_c 3.129
_cell_angle_alpha 90.00
_cell_angle_beta 90.00
_cell_angle_gamma 90.00
loop_
_atom_site_label
_atom_site_fract_x
_atom_site_fract_y
_atom_site_fract_z
Zr1 0.000 0.000 0.000
Co1 0.500 0.500 0.500
```

Below is a relaxed Zr3Co crystal, with properties calculated at the GGA-PBEsol level.

Computed properties:
Raw total energy ... -35.62 eV/f.u.
Energy relative to the elements ... -0.1537 eV/atom

The structure in CIF format:
```
data_Zr3Co
_space_group_name_H-M_alt 'I m m 2'
_space_group_IT_number 44
_cell_length_a 3.164
_cell_length_b 9.323
_cell_length_c 5.169
_cell_angle_alpha 90.00
_cell_angle_beta 90.00
_cell_angle_gamma 90.00
loop_
_space_group_symop_operation_xyz
'x,y,z'
'-x,-y,z'
'-x,y,z'
'x,-y,z'
'x+1/2,y+1/2,z+1/2'
'-x+1/2,-y+1/2,z+1/2'
'-x+1/2,y+1/2,z+1/2'
'x+1/2,-y+1/2,z+1/2'
loop_
_atom_site_label
_atom_site_fract_x
_atom_site_fract_y
_atom_site_fract_z
Zr1 0.000 0.000 0.000
Zr2 0.000 0.199 0.455
Co1 0.000 0.500 0.119
```

Below is a relaxed Zr3Co crystal, with properties calculated at the GGA-PBEsol level.

Computed properties:
Raw total energy ... -35.60 eV/f.u.
Energy relative to the elements ... -0.1477 eV/atom

The structure in CIF format:
```
data_Zr3Co
_space_group_name_H-M_alt 'P 4/m m m'
_space_group_IT_number 123
_space_group_name_Hall '-P 4 2'
_cell_length_a 3.196
_cell_length_b 3.196
_cell_length_c 7.253
_cell_angle_alpha 90.00
_cell_angle_beta 90.00
_cell_angle_gamma 90.00
loop_
_atom_site_label
_atom_site_fract_x
_atom_site_fract_y
_atom_site_fract_z
Zr1 0.000 0.000 0.000
Zr2 0.500 0.500 0.291
Co1 0.000 0.000 0.500
```

Below is a relaxed Zr3Co crystal, with properties calculated at the GGA-PBEsol level.

Computed properties:
Raw total energy ... -35.92 eV/f.u.
Energy relative to the elements ... -0.2285 eV/atom

The structure in CIF format:
```
data_Zr3Co
_space_group_name_H-M_alt 'C m c m'
_space_group_IT_number 63
_space_group_name_Hall '-C 2c 2'
_cell_length_a 3.214
_cell_length_b 10.522
_cell_length_c 8.925
_cell_angle_alpha 90.00
_cell_angle_beta 90.00
_cell_angle_gamma 90.00
loop_
_atom_site_label
_atom_site_fract_x
_atom_site_fract_y
_atom_site_fract_z
Zr1 0.000 0.084 0.250
Zr2 0.000 0.365 0.054
Co1 0.000 0.222 0.750
```